# 1
# GaSiH GGA-PBE relaxed
data_GaSiH
_cell_length_a 6.6391
_cell_length_b 4.2942
_cell_length_c 6.7441
_cell_angle_alpha 90.00
_cell_angle_beta 90.00
_cell_angle_gamma 90.00
_symmetry_space_group_name_H-M 'P 1'
_symmetry_Int_Tables_number 1
loop_
_symmetry_equiv_pos_as_xyz
'x,y,z'
loop_
_atom_site_label
_atom_site_fract_x
_atom_site_fract_y
_atom_site_fract_z
H1 0.9186 0.2500 0.9663
H2 0.5814 0.7500 0.4663
H3 0.0814 0.7500 0.0337
H4 0.4186 0.2500 0.5337
Si1 0.2529 0.2500 0.3792
Si2 0.2471 0.7500 0.8792
Si3 0.7471 0.7500 0.6208
Si4 0.7529 0.2500 0.1208
Ga1 0.8624 0.2500 0.4661
Ga2 0.6376 0.7500 0.9661
Ga3 0.1376 0.7500 0.5339
Ga4 0.3624 0.2500 0.0339
# spin magnetization: 0.00 μB/f.u.
# VASP energy: -3.762 eV per atom

# 2
# GaSiH GGA-PBE relaxed
data_GaSiH
_cell_length_a 2.6094
_cell_length_b 2.6100
_cell_length_c 6.2202
_cell_angle_alpha 89.93
_cell_angle_beta 89.74
_cell_angle_gamma 89.99
_symmetry_space_group_name_H-M 'P 1'
_symmetry_Int_Tables_number 1
loop_
_symmetry_equiv_pos_as_xyz
'x,y,z'
loop_
_atom_site_label
_atom_site_fract_x
_atom_site_fract_y
_atom_site_fract_z
Ga1 0.1092 0.5298 0.0249
Si1 0.0956 0.5181 0.5956
H1 0.1008 0.5210 0.3375
# spin magnetization: 0.00 μB/f.u.
# VASP energy: -3.682 eV per atom

# 3
# GaSiH GGA-PBE relaxed
data_GaSiH
_cell_length_a 6.8899
_cell_length_b 3.1043
_cell_length_c 7.1979
_cell_angle_alpha 90.00
_cell_angle_beta 90.00
_cell_angle_gamma 90.00
_symmetry_space_group_name_H-M 'P 1'
_symmetry_Int_Tables_number 1
loop_
_symmetry_equiv_pos_as_xyz
'x,y,z'
loop_
_atom_site_label
_atom_site_fract_x
_atom_site_fract_y
_atom_site_fract_z
H1 0.7501 0.2500 0.4308
H2 0.7499 0.7500 0.9308
H3 0.2499 0.7500 0.5692
H4 0.2501 0.2500 0.0692
Si1 0.2500 0.2500 0.4581
Si2 0.2500 0.7500 0.9581
Si3 0.7500 0.7500 0.5419
Si4 0.7500 0.2500 0.0419
Ga1 0.0000 0.2500 0.7501
Ga2 0.5000 0.7500 0.2501
Ga3 0.0000 0.7500 0.2499
Ga4 0.5000 0.2500 0.7499
# spin magnetization: 0.00 μB/f.u.
# VASP energy: -3.544 eV per atom

# 4
# GaSiH GGA-PBE relaxed
data_GaSiH
_cell_length_a 6.5309
_cell_length_b 6.5565
_cell_length_c 4.2083
_cell_angle_alpha 90.00
_cell_angle_beta 90.00
_cell_angle_gamma 90.00
_symmetry_space_group_name_H-M 'P 1'
_symmetry_Int_Tables_number 1
loop_
_symmetry_equiv_pos_as_xyz
'x,y,z'
loop_
_atom_site_label
_atom_site_fract_x
_atom_site_fract_y
_atom_site_fract_z
H1 0.4279 0.2500 0.8517
H2 0.0721 0.7500 0.3517
H3 0.5721 0.7500 0.1483
H4 0.9279 0.2500 0.6483
Si1 0.2796 0.2500 0.1464
Si2 0.2204 0.7500 0.6464
Si3 0.7204 0.7500 0.8536
Si4 0.7796 0.2500 0.3536
Ga1 0.0000 0.0000 0.0000
Ga2 0.5000 0.5000 0.5000
Ga3 0.5000 0.0000 0.5000
Ga4 0.0000 0.5000 0.0000
# spin magnetization: 0.00 μB/f.u.
# VASP energy: -3.635 eV per atom